The following is a PBE with a Hubbard U calculation of a geometry-optimized SrNi2IO6 structure, from the Alexandria database.

## Properties
magnetic moment: 5.0 μB per formula unit
E: -49.37 eV per cell
crystal system: trigonal
DOS(E_F): 1.25 states/eV/cell
space-group type: R3, No. 146

Unit cell a=5.787 b=5.787 c=5.787 alpha=56.69 beta=56.69 gamma=56.69
Fractional positions:
1 Sr 0.000 0.000 0.000
2 Ni 0.266 0.266 0.266
3 Ni 0.783 0.783 0.783
4 I 0.470 0.470 0.470
5 O 0.082 0.609 0.451
6 O 0.179 0.535 0.881
7 O 0.451 0.082 0.609
8 O 0.535 0.881 0.179
9 O 0.609 0.451 0.082
10 O 0.881 0.179 0.535